Arrangement i

Material: VSiSe2N
Method: DFT, PBE-GGA
State: relaxed

- D(E_F) (states/eV per cell) = 1.91

Cell lengths 4.987, 4.987, 3.608 Å; angles 90.00, 90.00, 90.00 degrees
Fractional coordinates of all 5 atoms:
N 0.000 0.000 0.500
V 0.000 0.000 0.000
Se 0.000 0.500 0.000
Se 0.500 0.000 0.000
Si 0.500 0.500 0.500



Arrangement ii

Material: VSiSe2N
Method: DFT, PBE-GGA
State: relaxed

- D(E_F) (states/eV per cell) = 4.20

Cell lengths 5.061, 5.061, 3.284 Å; angles 90.00, 90.00, 90.00 degrees
Each line ends with the local moment (μB).
Fractional coordinates of all 5 atoms:
Se 0.000 0.500 0.000  -0.11
Se 0.500 0.000 0.000  -0.11
Si 0.000 0.000 0.000  0.01
V 0.500 0.500 0.500  2.65
N 0.000 0.000 0.500  0.02



Calculated relative energies: arrangement i 0; arrangement ii 44, given in meV per atom



Arrangement i

Material: ZnSiSeN2
Method: DFT, PBE-GGA
State: relaxed

- D(E_F) (states/eV per cell) = 0.91

Cell lengths 3.467, 3.467, 6.591 Å; angles 90.00, 90.00, 90.00 degrees
Fractional coordinates of all 5 atoms:
Zn 0.500 0.500 0.500
Si 0.000 0.000 0.000
N 0.500 0.000 0.000
N 0.000 0.500 0.000
Se 0.000 0.000 0.500



Arrangement ii

Material: ZnSiSeN2
Method: DFT, PBE-GGA
State: relaxed

- D(E_F) (states/eV per cell) = 1.97

Cell lengths 3.881, 3.881, 5.612 Å; angles 90.00, 90.00, 90.00 degrees
Each line ends with the local moment (μB).
Fractional coordinates of all 5 atoms:
Zn 0.000 0.000 0.000  0.06
Si 0.500 0.500 0.500  -0.05
N 0.500 0.000 0.000  1.05
N 0.000 0.500 0.000  1.05
Se 0.000 0.000 0.500  0.19



Calculated relative energies: arrangement i 0; arrangement ii 1165, given in meV per atom



Arrangement i

Material: Sm3Se3N
Method: DFT, PBE-GGA
State: relaxed

Cell lengths 4.066, 12.809, 13.439 Å; angles 90.00, 90.00, 90.00 degrees
Fractional coordinates of all 28 atoms:
Sm 0.250 0.065 0.633
Sm 0.250 0.043 0.151
Sm 0.250 0.543 0.349
Sm 0.750 0.794 0.140
Sm 0.750 0.957 0.849
Sm 0.750 0.457 0.651
Sm 0.750 0.435 0.133
Sm 0.250 0.706 0.640
Sm 0.250 0.565 0.867
Sm 0.250 0.206 0.860
Sm 0.750 0.935 0.367
Sm 0.750 0.294 0.360
Se 0.250 0.096 0.394
Se 0.750 0.904 0.606
Se 0.250 0.596 0.106
Se 0.250 0.870 0.005
Se 0.750 0.630 0.505
Se 0.250 0.276 0.188
Se 0.250 0.370 0.495
Se 0.750 0.130 0.995
Se 0.750 0.404 0.894
Se 0.750 0.724 0.812
Se 0.250 0.776 0.312
Se 0.750 0.224 0.688
N 0.750 0.462 0.297
N 0.250 0.038 0.797
N 0.250 0.538 0.703
N 0.750 0.962 0.203



Arrangement ii

Material: Sm3Se3N
Method: DFT, PBE-GGA
State: relaxed

Cell lengths 7.377, 7.377, 7.254 Å; angles 96.45, 96.45, 113.00 degrees
Fractional coordinates of all 14 atoms:
Se 0.253 0.747 0.000
Se 0.386 0.386 0.646
Se 0.747 0.253 0.000
Se 0.614 0.614 0.354
Se 0.834 0.166 0.500
Se 0.166 0.834 0.500
Sm 0.545 0.838 0.723
Sm 0.098 0.098 0.817
Sm 0.162 0.455 0.277
Sm 0.838 0.545 0.723
Sm 0.902 0.902 0.183
Sm 0.455 0.162 0.277
N 0.823 0.823 0.860
N 0.177 0.177 0.140



Calculated relative energies: arrangement i 0; arrangement ii 62, given in meV per atom



Arrangement i

Material: Sm4Se3N
Method: DFT, PBE-GGA
State: relaxed

- D(E_F) (states/eV per cell) = 3.34

Cell lengths 3.959, 7.067, 7.067 Å; angles 108.55, 90.00, 90.00 degrees
Fractional coordinates of all 8 atoms:
Se 0.000 0.500 0.000
Se 0.500 0.500 0.500
Se 0.000 0.000 0.500
Sm 0.000 0.790 0.790
Sm 0.000 0.210 0.210
Sm 0.500 0.779 0.221
Sm 0.500 0.221 0.779
N 0.500 0.000 0.000



Arrangement ii

Material: Sm4Se3N
Method: DFT, PBE-GGA
State: relaxed

- D(E_F) (states/eV per cell) = 9.45

Cell lengths 5.756, 7.784, 9.914 Å; angles 90.00, 90.00, 90.00 degrees
Fractional coordinates of all 16 atoms:
Sm 0.565 0.735 0.714
Sm 0.065 0.265 0.786
Sm 0.065 0.265 0.214
Sm 0.086 0.857 0.500
Sm 0.565 0.735 0.286
Sm 0.571 0.143 0.500
Sm 0.586 0.143 0.000
Sm 0.071 0.857 0.000
N 0.519 0.847 0.500
N 0.019 0.153 0.000
Se 0.567 0.348 0.243
Se 0.576 0.774 0.000
Se 0.567 0.348 0.757
Se 0.067 0.652 0.743
Se 0.067 0.652 0.257
Se 0.076 0.226 0.500



Calculated relative energies: arrangement i 0; arrangement ii 168, given in meV per atom